No. 1
MgNbAg after structural relaxation, computed with PBE-GGA.

The calculation puts the total energy at -56.1 eV per cell. As for the total moment: 0.00 μB per formula unit. As for the symmetry: Pnma.

abc: 8.0471 2.8837 9.9287
angles: 90.00 90.00 90.00
Element x y z (fractional)
Mg 0.1836 0.2500 0.0992
Mg 0.3164 0.7500 0.5992
Mg 0.6836 0.2500 0.4008
Mg 0.8164 0.7500 0.9008
Nb 0.0740 0.2500 0.4004
Nb 0.4260 0.7500 0.9004
Nb 0.5740 0.2500 0.0996
Nb 0.9260 0.7500 0.5996
Ag 0.1169 0.2500 0.8131
Ag 0.3831 0.7500 0.3131
Ag 0.6169 0.2500 0.6869
Ag 0.8831 0.7500 0.1869

***

No. 2
Ac2ThCd after structural relaxation, computed with PBE-GGA.

The calculation puts the total energy at -16.8 eV per cell. As for the total moment: 0.00 μB per formula unit. As for the symmetry: P4/mmm.

abc: 3.8395 3.8395 9.7142
angles: 90.00 90.00 90.00
Element x y z (fractional)
Ac 0.0000 0.0000 0.2347
Ac 0.0000 0.0000 0.7653
Th 0.5000 0.5000 0.5000
Cd 0.5000 0.5000 0.0000

***

No. 3
Cs2Rb5Na after structural relaxation, computed with PBE-GGA.

The calculation puts the total energy at -14.5 eV per cell. As for the total moment: 0.00 μB per formula unit. As for the symmetry: Cm.

abc: 13.3294 13.3331 11.5721
angles: 90.00 125.11 90.00
Element x y z (fractional)
Cs 0.0000 0.2501 0.0000
Cs 0.0000 0.7499 0.0000
Cs 0.5000 0.2499 0.0000
Cs 0.5000 0.7501 0.0000
Rb 0.1500 0.0000 0.8000
Rb 0.2275 0.5000 0.4599
Rb 0.2324 0.0000 0.4593
Rb 0.4799 0.2474 0.4596
Rb 0.4799 0.7526 0.4596
Rb 0.6500 0.5000 0.8000
Rb 0.7275 0.0000 0.4599
Rb 0.7324 0.5000 0.4593
Rb 0.9799 0.2526 0.4596
Rb 0.9799 0.7474 0.4596
Na 0.3501 0.0000 0.1987
Na 0.8501 0.5000 0.1987

***

No. 4
La2GeSb after structural relaxation, computed with PBE-GGA.

The calculation puts the total energy at -90.5 eV per cell. Its formation energy (no corrections) is -1007 meV per atom. As for the total moment: 0.00 μB per formula unit. As for the symmetry: Cmcm.

abc: 4.6682 24.7267 4.3677
angles: 90.00 90.00 90.00
Element x y z (fractional)
La 0.0000 0.0608 0.2500
La 0.0000 0.3182 0.2500
La 0.0000 0.6818 0.7500
La 0.0000 0.9392 0.7500
La 0.5000 0.1818 0.7500
La 0.5000 0.4392 0.7500
La 0.5000 0.5608 0.2500
La 0.5000 0.8182 0.2500
Ge 0.0000 0.4628 0.2500
Ge 0.0000 0.5372 0.7500
Ge 0.5000 0.0372 0.7500
Ge 0.5000 0.9628 0.2500
Sb 0.0000 0.1877 0.2500
Sb 0.0000 0.8123 0.7500
Sb 0.5000 0.3123 0.7500
Sb 0.5000 0.6877 0.2500

***

No. 5
K2ZrMn after structural relaxation, computed with PBE-GGA.

The calculation puts the total energy at -61.4 eV per cell. As for the total moment: 1.23 μB per formula unit. As for the symmetry: I-42d.

abc: 12.5623 12.5623 4.7584
angles: 90.00 90.00 90.00
Element x y z (fractional)
K 0.1046 0.2500 0.1250
K 0.2500 0.6046 0.3750
K 0.2500 0.8954 0.8750
K 0.3954 0.2500 0.6250
K 0.6046 0.7500 0.6250
K 0.7500 0.1046 0.8750
K 0.7500 0.3954 0.3750
K 0.8954 0.7500 0.1250
Zr 0.0000 0.0000 0.5000
Zr 0.0000 0.5000 0.7500
Zr 0.5000 0.0000 0.2500
Zr 0.5000 0.5000 0.0000
Mn 0.0000 0.0000 0.0000
Mn 0.0000 0.5000 0.2500
Mn 0.5000 0.0000 0.7500
Mn 0.5000 0.5000 0.5000

***

No. 6
K3Sr after structural relaxation, computed with PBE-GGA.

The calculation puts the total energy at -9.1 eV per cell. As for the total moment: 0.00 μB per formula unit. As for the symmetry: I4/mmm.

abc: 6.4283 6.4283 13.0983
angles: 90.00 90.00 90.00
Element x y z (fractional)
K 0.0000 0.0000 0.0000
K 0.0000 0.5000 0.2500
K 0.0000 0.5000 0.7500
K 0.5000 0.0000 0.2500
K 0.5000 0.0000 0.7500
K 0.5000 0.5000 0.5000
Sr 0.0000 0.0000 0.5000
Sr 0.5000 0.5000 0.0000

***

No. 7
HoHgBi after structural relaxation, computed with PBE-GGA.

The calculation puts the total energy at -19.7 eV per cell. As for the total moment: 0.00 μB per formula unit. As for the symmetry: I4mm.

abc: 4.2600 4.2600 9.4232
angles: 90.00 90.00 90.00
Element x y z (fractional)
Ho 0.0000 0.0000 0.0000
Ho 0.5000 0.5000 0.5000
Hg 0.0000 0.0000 0.3236
Hg 0.5000 0.5000 0.8236
Bi 0.0000 0.0000 0.6522
Bi 0.5000 0.5000 0.1522

***

No. 8
BeAlOF2 after structural relaxation, computed with PBE-GGA.

The calculation puts the total energy at -26.2 eV per cell. Its formation energy (no corrections) is -2011 meV per atom. As for the total moment: 0.00 μB per formula unit. As for the symmetry: P4/mmm.

abc: 3.1990 3.1990 5.0022
angles: 90.00 90.00 90.00
Element x y z (fractional)
Be 0.0000 0.0000 0.0000
Al 0.5000 0.5000 0.5000
O 0.0000 0.0000 0.5000
F 0.0000 0.5000 0.0000
F 0.5000 0.0000 0.0000

***

No. 9
Li3Sn2S4 after structural relaxation, computed with PBE-GGA.

The calculation puts the total energy at -74.6 eV per cell. Its formation energy (no corrections) is -784 meV per atom. As for the total moment: 0.00 μB per formula unit. As for the symmetry: C2/c.

abc: 7.6955 7.6955 6.9033
angles: 97.98 97.98 92.71
Element x y z (fractional)
Li 0.2095 0.7905 0.7500
Li 0.3348 0.4439 0.5852
Li 0.4439 0.3348 0.0852
Li 0.5561 0.6652 0.9148
Li 0.6652 0.5561 0.4148
Li 0.7905 0.2095 0.2500
Sn 0.0274 0.2795 0.8142
Sn 0.2795 0.0274 0.3142
Sn 0.7205 0.9726 0.6858
Sn 0.9726 0.7205 0.1858
S 0.0753 0.2576 0.4464
S 0.2503 0.5427 0.9378
S 0.2576 0.0753 0.9464
S 0.4573 0.7497 0.5622
S 0.5427 0.2503 0.4378
S 0.7424 0.9247 0.0536
S 0.7497 0.4573 0.0622
S 0.9247 0.7424 0.5536

***

No. 10
Pa2AsRu after structural relaxation, computed with PBE-GGA.

The calculation puts the total energy at -34.7 eV per cell. As for the total moment: 0.00 μB per formula unit. As for the symmetry: P4/mmm.

abc: 4.3781 4.3781 4.1744
angles: 90.00 90.00 90.00
Element x y z (fractional)
Pa 0.0000 0.5000 0.0000
Pa 0.5000 0.0000 0.0000
As 0.0000 0.0000 0.5000
Ru 0.5000 0.5000 0.5000

***

No. 11
Ba2CaTc after structural relaxation, computed with PBE-GGA.

The calculation puts the total energy at -13.0 eV per cell. As for the total moment: 1.47 μB per formula unit. As for the symmetry: P4/mmm.

abc: 5.3342 5.3342 5.0309
angles: 90.00 90.00 90.00
Element x y z (fractional)
Ba 0.0000 0.5000 0.0000
Ba 0.5000 0.0000 0.0000
Ca 0.0000 0.0000 0.5000
Tc 0.5000 0.5000 0.5000

***

No. 12
Hg2RuRh after structural relaxation, computed with PBE-GGA.

The calculation puts the total energy at -30.5 eV per cell. As for the total moment: 1.57 μB per formula unit. As for the symmetry: I-4m2.

abc: 4.1148 4.1148 8.2267
angles: 90.00 90.00 90.00
Element x y z (fractional)
Hg 0.0000 0.0000 0.0000
Hg 0.0000 0.5000 0.2500
Hg 0.5000 0.0000 0.7500
Hg 0.5000 0.5000 0.5000
Ru 0.0000 0.0000 0.5000
Ru 0.5000 0.5000 0.0000
Rh 0.0000 0.5000 0.7500
Rh 0.5000 0.0000 0.2500

***

No. 13
TiAlPbBr2 after structural relaxation, computed with PBE-GGA.

The calculation puts the total energy at -16.9 eV per cell. Its formation energy (no corrections) is 359 meV per atom. As for the total moment: 2.47 μB per formula unit. As for the symmetry: P4/mmm.

abc: 5.0342 5.0342 5.8158
angles: 90.00 90.00 90.00
Element x y z (fractional)
Ti 0.0000 0.0000 0.0000
Al 0.5000 0.5000 0.5000
Pb 0.5000 0.5000 0.0000
Br 0.0000 0.5000 0.5000
Br 0.5000 0.0000 0.5000